This record from Alexandria describes a relaxed structure of CuMoO2F. The functional is GGA+U.

Output
E_tot: -5.142 eV per atom

Cell lengths 3.898, 3.898, 3.765 Å; angles 90.00, 90.00, 90.00 degrees
Space group P4/mmm (No. 123)
Symmetry-distinct sites (fractional):
Cu 0.000 0.000 0.000 [1 per cell]
Mo 0.500 0.500 0.500 [1 per cell]
O 0.000 0.500 0.000 [2 per cell]
F 0.000 0.000 0.500 [1 per cell]